Density functional theory data (PBEsol) for IrRu3 after structural relaxation.

Cell: 2.695 4.676 5.055 Å, 117.55 105.47 90.00°
Sites, in units of the cell vectors:
Ru1 0.750 0.417 0.501
Ru2 0.250 0.916 0.499
Ru3 0.500 0.500 0.000
Ir1 0.000 0.000 0.000

Properties
Its symmetry is No. 44. For the formation energy from the elements, the calculation gives -0.042 eV/atom. For the magnetization, the calculation gives 0.00 μB/cell.